1.
A geometry-optimized BaTl2P2S7 structure. Source: the Alexandria database, functional GGA-PBE.

Calculated values
- symmetry = R32
- V (Å³/atom) = 28.28
- DFT total energy (eV per atom) = -4.44
- formation energy (no corrections) (eV/f.u.) = -6.86

Cell: 6.420 6.420 10.206 Å, 71.67 71.67 60.00°
Fractional positions:
S  0.831  0.429  0.708
Tl  0.317  0.317  0.048
Tl  0.683  0.683  0.952
S  0.968  0.571  0.292
S  0.032  0.831  0.708
S  0.571  0.169  0.292
P  0.080  0.080  0.761
P  0.920  0.920  0.239
S  0.000  0.000  0.000
S  0.169  0.968  0.292
S  0.429  0.032  0.708
Ba  0.500  0.500  0.500

---

2.
A geometry-optimized BaTlP2S8 structure. Source: the Alexandria database, functional GGA-PBE.

Calculated values
- symmetry = R-3
- V (Å³/atom) = 24.44
- DFT total energy (eV per atom) = -4.45
- formation energy (no corrections) (eV/f.u.) = -5.32

Cell: 6.102 6.102 9.752 Å, 71.77 71.77 60.00°
Fractional positions:
S  0.313  0.933  0.182
Ba  0.500  0.500  0.500
S  0.067  0.428  0.818
S  0.933  0.572  0.182
S  0.428  0.687  0.818
S  0.572  0.313  0.182
S  0.825  0.825  0.526
P  0.750  0.750  0.749
P  0.250  0.250  0.251
S  0.175  0.175  0.474
Tl  0.000  0.000  0.000
S  0.687  0.067  0.818

---

3.
A geometry-optimized BaTlPS4 structure. Source: the Alexandria database, functional GGA-PBE.

Calculated values
- symmetry = P2_1/m
- V (Å³/atom) = 29.28
- DFT total energy (eV per atom) = -4.70
- formation energy (no corrections) (eV/f.u.) = -6.70

Cell: 6.849 6.725 9.243 Å, 90.00 105.66 90.00°
Fractional positions:
S  0.680  0.250  0.482
Tl  0.263  0.250  0.061
Tl  0.737  0.750  0.939
S  0.320  0.750  0.518
S  0.997  0.005  0.762
P  0.809  0.250  0.713
Ba  0.229  0.250  0.539
P  0.191  0.750  0.287
S  0.997  0.495  0.762
S  0.003  0.995  0.238
S  0.600  0.250  0.833
S  0.400  0.750  0.167
S  0.003  0.505  0.238
Ba  0.771  0.750  0.461

---

4.
A geometry-optimized BaTlPS2 structure. Source: the Alexandria database, functional GGA-PBE.

Calculated values
- symmetry = P4/mmm
- V (Å³/atom) = 44.28
- energy above the lowest structure with this stoichiometry (eV per atom) = 0.557
- DFT total energy (eV per atom) = -3.24
- formation energy (no corrections) (eV/f.u.) = 1.75

Cell: 5.952 5.952 6.250 Å, 90.00 90.00 90.00°
Last column: magnetic moment on the atom in μB.
Fractional positions:
P  0.000  0.000  0.500  0.93
Ba  0.000  0.000  0.000  0.06
S  0.500  0.000  0.000  0.52
S  0.000  0.500  0.000  0.52
Tl  0.500  0.500  0.500  0.00

---

Q: Look up the formation energy (no corrections) of the first one.
A: -6.86 eV/f.u.